# 1
DFT (GGA-PBE) results for Ca3Nb3VN8 after structural relaxation.

Results
- total energy (eV/atom) = -8.466
- calculated volume (A^3/atom) = 12.60

abc: 6.2260 6.2260 16.8916
angles: 90.00 90.00 120.00
Space group R-3m (No. 166, hexagonal axes)
One atom of each set of equivalent atoms:
1 Ca 0.0000 0.5000 0.0000 (multiplicity 9)
2 Nb 0.0000 0.5000 0.5000 (multiplicity 9)
3 V 0.0000 0.0000 0.5000 (multiplicity 3)
4 N 0.0000 0.0000 0.2399 (multiplicity 6)
5 N 0.0106 0.5053 0.2332 (multiplicity 18)



# 2
DFT (GGA-PBE) results for CaNb2VN4 after structural relaxation.

Results
- total energy (eV/atom) = -9.124
- calculated volume (A^3/atom) = 11.90

abc: 3.1643 10.9137 11.0233
angles: 90.00 90.00 90.00
Space group Cmcm (No. 63)
One atom of each set of equivalent atoms:
1 Ca 0.0000 0.1074 0.2500 (multiplicity 4)
2 Nb 0.0000 0.3688 0.0396 (multiplicity 8)
3 V 0.0000 0.1584 0.7500 (multiplicity 4)
4 N 0.0000 0.0000 0.0000 (multiplicity 4)
5 N 0.0000 0.2668 0.6176 (multiplicity 8)
6 N 0.0000 0.4380 0.2500 (multiplicity 4)



# 3
DFT (GGA-PBE) results for Ca3Nb3WN8 after structural relaxation.

Results
- total energy (eV/atom) = -8.667
- calculated volume (A^3/atom) = 12.82

abc: 6.2587 6.2587 16.9990
angles: 90.00 90.00 120.00
Space group R-3m (No. 166, hexagonal axes)
One atom of each set of equivalent atoms:
1 Ca 0.0000 0.5000 0.0000 (multiplicity 9)
2 Nb 0.0000 0.5000 0.5000 (multiplicity 9)
3 W 0.0000 0.0000 0.5000 (multiplicity 3)
4 N 0.0000 0.0000 0.2401 (multiplicity 6)
5 N 0.0120 0.5060 0.2346 (multiplicity 18)



# 4
DFT (GGA-PBE) results for CaY2NbN4 after structural relaxation.

Results
- total energy (eV/atom) = -8.493
- calculated volume (A^3/atom) = 15.62

abc: 3.4242 11.9361 12.2298
angles: 90.00 90.00 90.00
Space group Cmcm (No. 63)
One atom of each set of equivalent atoms:
1 Ca 0.0000 0.1080 0.2500 (multiplicity 4)
2 Y 0.0000 0.3706 0.0324 (multiplicity 8)
3 Nb 0.0000 0.1579 0.7500 (multiplicity 4)
4 N 0.0000 0.0000 0.0000 (multiplicity 4)
5 N 0.0000 0.2566 0.6222 (multiplicity 8)
6 N 0.0000 0.4392 0.2500 (multiplicity 4)



# 5
DFT (GGA-PBE) results for CaNb2ZnN4 after structural relaxation.

Results
- total energy (eV/atom) = -7.823
- calculated volume (A^3/atom) = 12.11

abc: 3.2491 10.7177 11.1312
angles: 90.00 90.00 90.00
Space group Cmcm (No. 63)
One atom of each set of equivalent atoms:
1 Ca 0.0000 0.1033 0.2500 (multiplicity 4)
2 Nb 0.0000 0.3749 0.0413 (multiplicity 8)
3 Zn 0.0000 0.1628 0.7500 (multiplicity 4)
4 N 0.0000 0.0000 0.0000 (multiplicity 4)
5 N 0.0000 0.2725 0.6066 (multiplicity 8)
6 N 0.0000 0.4403 0.2500 (multiplicity 4)



# 6
DFT (GGA-PBE) results for Ca3Zr2NbN6 after structural relaxation.

Results
- total energy (eV/atom) = -8.300
- calculated volume (A^3/atom) = 13.08

abc: 5.6874 9.8471 5.9187
angles: 90.00 108.70 90.00
Space group C2/m (No. 12)
One atom of each set of equivalent atoms:
1 Ca 0.0000 0.0000 0.0000 (multiplicity 2)
2 Ca 0.0000 0.3337 0.0000 (multiplicity 4)
3 Zr 0.0000 0.1667 0.5000 (multiplicity 4)
4 Nb 0.0000 0.5000 0.5000 (multiplicity 2)
5 N 0.2343 0.3377 0.7158 (multiplicity 8)
6 N 0.2474 0.0000 0.7156 (multiplicity 4)



# 7
DFT (GGA-PBE) results for Ca4ZrNb3N8 after structural relaxation.

Results
- total energy (eV/atom) = -8.309
- calculated volume (A^3/atom) = 12.62

abc: 6.4554 6.4554 16.7796
angles: 90.00 90.00 120.00
Space group R-3m (No. 166, hexagonal axes)
One atom of each set of equivalent atoms:
1 Ca 0.0000 0.0000 0.0000 (multiplicity 3)
2 Ca 0.0000 0.5000 0.0000 (multiplicity 9)
3 Zr 0.0000 0.0000 0.5000 (multiplicity 3)
4 Nb 0.0000 0.5000 0.5000 (multiplicity 9)
5 N 0.0000 0.0000 0.2389 (multiplicity 6)
6 N 0.0065 0.5032 0.7613 (multiplicity 18)



# 8
DFT (GGA-PBE) results for Ca3ZrNb3N8 after structural relaxation.

Results
- total energy (eV/atom) = -8.527
- calculated volume (A^3/atom) = 13.23

abc: 6.3710 6.3710 16.9399
angles: 90.00 90.00 120.00
Space group R-3m (No. 166, hexagonal axes)
One atom of each set of equivalent atoms:
1 Ca 0.0000 0.5000 0.0000 (multiplicity 9)
2 Zr 0.0000 0.0000 0.5000 (multiplicity 3)
3 Nb 0.0000 0.5000 0.5000 (multiplicity 9)
4 N 0.0000 0.0000 0.2392 (multiplicity 6)
5 N 0.0076 0.5038 0.7655 (multiplicity 18)